Entry 1:
DFT (PBE) results for a relaxed TePtAu crystal.

Distance to the lowest polymorph of the same formula ... 0 meV/atom
Total DFT energy (no corrections) ... -25.34 eV per cell
V ... 126.8 Å³/cell

a = 3.810 Å, b = 5.914 Å, c = 6.324 Å
α = 110.08°, β = 107.53°, γ = 90.00°
Fractional positions:
Au 0.071 0.256 0.141
Au 0.929 0.744 0.859
Pt 0.749 0.299 0.498
Pt 0.251 0.701 0.502
Te 0.376 0.178 0.752
Te 0.624 0.822 0.248


Entry 2:
DFT (PBE) results for a relaxed Ac2ZnGe crystal.

Distance to the lowest polymorph of the same formula ... 0 meV/atom
Total DFT energy (no corrections) ... -32.24 eV per cell
V ... 242.6 Å³/cell
Energy of formation from the pure elements ... -504 meV per atom

a = 4.356 Å, b = 6.400 Å, c = 9.333 Å
α = 111.20°, β = 90.00°, γ = 90.00°
Fractional positions:
Ac 0.750 0.224 0.939
Ac 0.750 0.213 0.419
Ac 0.250 0.776 0.061
Ac 0.250 0.787 0.581
Zn 0.750 0.609 0.777
Zn 0.250 0.391 0.223
Ge 0.250 0.344 0.707
Ge 0.750 0.656 0.293


Entry 3:
DFT (PBE) results for a relaxed LiThGaBr6 crystal.

Total DFT energy (no corrections) ... -70.45 eV per cell
V ... 625.8 Å³/cell

a = 7.224 Å, b = 7.224 Å, c = 13.847 Å
α = 90.00°, β = 90.00°, γ = 120.00°
Fractional positions:
Br 0.006 0.645 0.366
Br 0.645 0.640 0.634
Br 0.355 0.994 0.134
Br 0.360 0.006 0.634
Br 0.640 0.994 0.366
Br 0.360 0.355 0.866
Br 0.994 0.355 0.634
Br 0.640 0.645 0.134
Br 0.355 0.360 0.366
Br 0.006 0.360 0.134
Br 0.645 0.006 0.866
Br 0.994 0.640 0.866
Th 0.333 0.667 0.750
Th 0.667 0.333 0.250
Ga 0.000 0.000 0.000
Ga 0.000 0.000 0.500
Li 0.667 0.333 0.750
Li 0.333 0.667 0.250


Entry 4:
DFT (PBE) results for a relaxed Y5Ho2Er5 crystal.

Total DFT energy (no corrections) ... -63.99 eV per cell
V ... 375.3 Å³/cell
Energy of formation from the pure elements ... 25 meV per atom

a = 4.998 Å, b = 7.908 Å, c = 11.188 Å
α = 115.08°, β = 90.00°, γ = 108.42°
Fractional positions:
Y 0.165 0.331 0.499
Y 0.835 0.669 0.501
Y 0.750 0.500 0.751
Y 0.000 0.000 0.000
Y 0.250 0.500 0.249
Ho 0.083 0.167 0.751
Ho 0.917 0.833 0.249
Er 0.333 0.666 0.000
Er 0.582 0.164 0.250
Er 0.418 0.836 0.750
Er 0.500 0.000 0.500
Er 0.667 0.334 0.000


Entry 5:
DFT (PBE) results for a relaxed KHgPb2 crystal.

Total DFT energy (no corrections) ... -8.88 eV per cell
V ... 125.8 Å³/cell
Energy of formation from the pure elements ... -17 meV per atom

a = 6.445 Å, b = 6.445 Å, c = 3.383 Å
α = 90.00°, β = 90.00°, γ = 116.43°
Fractional positions:
K 0.000 0.500 0.500
Pb 0.000 0.000 0.000
Pb 0.500 0.500 0.000
Hg 0.500 0.000 0.500


Entry 6:
DFT (PBE) results for a relaxed Ba2TlPb2 crystal.

Distance to the lowest polymorph of the same formula ... 0 meV/atom
Total DFT energy (no corrections) ... -31.96 eV per cell
V ... 392.2 Å³/cell
Energy of formation from the pure elements ... -471 meV per atom

a = 5.349 Å, b = 7.063 Å, c = 11.549 Å
α = 88.11°, β = 76.61°, γ = 67.75°
Fractional positions:
Ba 0.080 0.737 0.103
Ba 0.690 0.296 0.325
Ba 0.920 0.263 0.897
Ba 0.310 0.704 0.675
Pb 0.124 0.218 0.535
Pb 0.636 0.838 0.890
Pb 0.876 0.782 0.465
Pb 0.364 0.162 0.110
Tl 0.425 0.839 0.310
Tl 0.575 0.161 0.690


Entry 7:
DFT (PBE) results for a relaxed K3Mg2Sn4 crystal.

Total DFT energy (no corrections) ... -23.85 eV per cell
V ... 327.0 Å³/cell
Energy of formation from the pure elements ... -151 meV per atom

a = 4.909 Å, b = 7.037 Å, c = 10.320 Å
α = 101.07°, β = 90.00°, γ = 110.41°
Fractional positions:
K 0.624 0.249 0.401
K 0.376 0.751 0.599
K 0.000 0.000 0.000
Sn 0.280 0.561 0.908
Sn 0.099 0.199 0.664
Sn 0.901 0.801 0.336
Sn 0.720 0.439 0.092
Mg 0.349 0.697 0.202
Mg 0.651 0.303 0.798


Entry 8:
DFT (PBE) results for a relaxed HgTe3C crystal.

Distance to the lowest polymorph of the same formula ... 0 meV/atom
Total DFT energy (no corrections) ... -14.17 eV per cell
V ... 117.1 Å³/cell

a = 4.893 Å, b = 4.893 Å, c = 4.893 Å
α = 90.00°, β = 90.00°, γ = 90.00°
Fractional positions:
Te 0.000 0.500 0.000
Te 0.500 0.000 0.000
Te 0.000 0.000 0.500
Hg 0.500 0.500 0.500
C 0.000 0.000 0.000


Entry 9:
DFT (PBE) results for a relaxed K2RhPb crystal.

Total DFT energy (no corrections) ... -11.72 eV per cell
V ... 108.0 Å³/cell
Energy of formation from the pure elements ... 383 meV per atom

a = 4.386 Å, b = 4.386 Å, c = 5.616 Å
α = 90.00°, β = 90.00°, γ = 90.00°
Fractional positions:
K 0.000 0.000 0.000
K 0.500 0.500 0.000
Pb 0.500 0.000 0.500
Rh 0.000 0.500 0.500


Entry 10:
DFT (PBE) results for a relaxed TbScCdCo crystal.

Distance to the lowest polymorph of the same formula ... 138 meV/atom
Total DFT energy (no corrections) ... -19.55 eV per cell
V ... 83.3 Å³/cell
Energy of formation from the pure elements ... -141 meV per atom

a = 4.902 Å, b = 4.902 Å, c = 4.902 Å
α = 60.00°, β = 60.00°, γ = 60.00°
Fractional positions:
Tb 0.000 0.000 0.000
Cd 0.750 0.750 0.750
Sc 0.500 0.500 0.500
Co 0.250 0.250 0.250


Entry 11:
DFT (PBE) results for a relaxed AlCoTe crystal.

Total DFT energy (no corrections) ... -13.75 eV per cell
V ... 56.0 Å³/cell

a = 3.429 Å, b = 3.429 Å, c = 5.501 Å
α = 90.00°, β = 90.00°, γ = 120.00°
Fractional positions:
Co 0.667 0.333 0.331
Al 0.000 0.000 0.062
Te 0.333 0.667 0.607


Entry 12:
DFT (PBE) results for a relaxed K4TbTm3Se8 crystal.

Total DFT energy (no corrections) ... -78.39 eV per cell
V ... 464.6 Å³/cell

a = 8.360 Å, b = 9.068 Å, c = 8.360 Å
α = 117.46°, β = 120.00°, γ = 90.00°
Fractional positions:
Se 0.763 0.296 0.033
Se 0.269 0.296 0.033
Se 0.236 0.704 0.473
Se 0.731 0.704 0.967
Se 0.764 0.296 0.527
Se 0.237 0.704 0.967
Se 0.734 0.702 0.468
Se 0.266 0.298 0.532
Tm 0.500 0.500 0.500
Tm 0.500 0.500 0.000
Tm 0.000 0.500 0.500
K 0.500 0.000 0.000
K 0.500 0.000 0.500
K 0.000 0.000 0.000
K 0.000 0.000 0.500
Tb 0.000 0.500 0.000